Entry 1:
## TaTi2Te (GGA-PBE)

Data for TaTi2Te after structural relaxation.

- VASP energy: -0.293 Ha/atom

Geometry as extended XYZ:
```
4
Lattice="3.502 0.000 0.000 0.000 3.502 0.000 0.000 0.000 5.973" Properties=species:S:1:pos:R:3 pbc="T T T"
Ta 0.000 0.000 0.000
Ti 1.751 1.751 1.447
Ti 1.751 1.751 4.526
Te 0.000 0.000 2.987
```

---

Entry 2:
## TaTi3Te6 (GGA-PBE)

Data for TaTi3Te6 after structural relaxation.

- VASP energy: -0.212 Ha/atom

Geometry as extended XYZ:
```
20
Lattice="5.680 3.279 4.907 -5.680 3.279 4.907 0.000 -6.559 4.907" Properties=species:S:1:pos:R:3 pbc="T T T"
Ta 0.000 0.000 0.000
Ta 0.000 0.000 7.360
Ti -2.998 0.805 4.536
Ti 0.802 -2.999 4.536
Ti -2.196 -2.194 10.185
Ti 2.196 2.194 4.536
Ti -0.802 2.999 10.185
Ti 2.998 -0.805 10.185
Te -3.459 -3.386 8.032
Te -4.662 1.302 6.689
Te -1.322 -1.605 5.505
Te 1.203 -4.689 6.689
Te -0.729 1.947 5.505
Te -2.051 0.342 9.216
Te 2.051 -0.342 5.505
Te 0.729 -1.947 9.216
Te -1.203 4.689 8.032
Te 1.322 1.605 9.216
Te 4.662 -1.302 8.032
Te 3.459 3.386 6.689
```

---

Entry 3:
## TaTi3Te (GGA-PBE)

Data for TaTi3Te after structural relaxation.

- Relative energy among the computed polymorphs: 0.000 eV per atom
- VASP energy: -0.253 Ha/atom

Geometry as extended XYZ:
```
5
Lattice="4.863 0.000 0.000 0.000 4.863 0.000 0.000 0.000 4.863" Properties=species:S:1:pos:R:3 pbc="T T T"
Ta 0.000 0.000 0.000
Ti 0.000 0.000 2.431
Ti 0.000 2.431 0.000
Ti 2.431 0.000 0.000
Te 2.431 2.431 2.431
```

---

Entry 4:
## TaTiTe3 (GGA-PBE)

Data for TaTiTe3 after structural relaxation.

- Relative energy among the computed polymorphs: 0.000 eV per atom
- VASP energy: -0.220 Ha/atom

Geometry as extended XYZ:
```
20
Lattice="7.498 0.000 0.000 0.000 10.333 0.000 0.000 0.000 7.408" Properties=species:S:1:pos:R:3 pbc="T T T"
Ta 1.676 2.583 0.350
Ta 2.073 7.750 4.054
Ta 5.425 2.583 3.354
Ta 5.822 7.750 7.058
Ti 0.000 0.000 0.000
Ti 0.000 5.166 0.000
Ti 3.749 0.000 3.704
Ti 3.749 5.166 3.704
Te 0.984 7.750 6.592
Te 1.277 5.788 2.487
Te 1.277 9.712 2.487
Te 2.473 0.621 6.191
Te 2.473 4.545 6.191
Te 2.765 2.583 2.888
Te 4.733 7.750 4.520
Te 5.026 5.788 1.217
Te 5.026 9.712 1.217
Te 6.222 0.621 4.921
Te 6.222 4.545 4.921
Te 6.514 2.583 0.816
```

---

Entry 5:
## Ta2Ti2Te7 (GGA-PBE)

Data for Ta2Ti2Te7 after structural relaxation.

- VASP energy: -0.213 Ha/atom

Geometry as extended XYZ:
```
11
Lattice="3.741 -6.277 0.000 3.741 6.277 0.000 -1.231 0.000 6.875" Properties=species:S:1:pos:R:3 pbc="T T T"
Ta 0.991 0.000 0.903
Ta 5.260 0.000 5.973
Ti 3.125 3.942 3.438
Ti 3.125 -3.942 3.438
Te 1.421 2.644 1.633
Te 0.288 0.000 4.799
Te 1.421 -2.644 1.633
Te 3.741 0.000 0.000
Te 4.830 2.644 5.242
Te 5.963 0.000 2.076
Te 4.830 -2.644 5.242
```

---

Entry 6:
## TaTiTe2 (GGA-PBE)

Data for TaTiTe2 after structural relaxation.

- Relative energy among the computed polymorphs: 0.531 eV per atom
- VASP energy: -0.224 Ha/atom

Geometry as extended XYZ:
```
8
Lattice="-3.221 3.221 6.137 3.221 -3.221 6.137 3.221 3.221 -6.137" Properties=species:S:1:pos:R:3 pbc="T T T"
Ta 0.000 0.000 0.000
Ta 0.000 3.221 3.068
Ti 3.221 0.000 3.068
Ti 0.000 0.000 6.137
Te 4.832 1.596 -1.534
Te 1.596 1.611 1.534
Te -1.611 1.625 4.602
Te 1.625 1.611 7.671
```

---

Entry 7:
## TaTiTe2 (GGA-PBE)

Data for TaTiTe2 after structural relaxation.

- Relative energy among the computed polymorphs: 0.000 eV per atom
- VASP energy: -0.244 Ha/atom

Geometry as extended XYZ:
```
4
Lattice="0.000 3.422 3.422 3.422 0.000 3.422 3.422 3.422 0.000" Properties=species:S:1:pos:R:3 pbc="T T T"
Ta 0.000 0.000 0.000
Ti 3.422 3.422 3.422
Te 1.711 1.711 1.711
Te 5.133 5.133 5.133
```

---

Entry 8:
## TaTi2Te (GGA-PBE)

Data for TaTi2Te after structural relaxation.

- VASP energy: -0.270 Ha/atom

Geometry as extended XYZ:
```
8
Lattice="-2.038 2.038 9.629 2.038 -2.038 9.629 2.038 2.038 -9.629" Properties=species:S:1:pos:R:3 pbc="T T T"
Ta 0.000 0.000 0.000
Ta 0.000 2.038 4.814
Ti 1.019 -1.008 7.222
Ti 1.030 1.019 2.407
Ti 1.019 3.046 -2.407
Ti 1.008 1.019 12.036
Te 2.038 0.000 4.814
Te 0.000 0.000 9.629
```